[1]
A geometry-optimized La2NdAs structure. Source: Alexandria, functional PBE.

Unit cell a=9.969 b=9.969 c=9.969 alpha=23.54 beta=23.54 gamma=23.54
Fractional coordinates of all 4 atoms:
La1 0.000 0.000 0.000
La2 0.207 0.207 0.207
Nd1 0.437 0.437 0.437
As1 0.603 0.603 0.603

Computed properties:
DOS at the Fermi energy = 1.0905 states/eV per atom
distance to the lowest polymorph of the same formula = 0.000 eV/atom
DFT total energy = -5.448 eV/atom
crystal system = trigonal
space-group type = R3m

***

[2]
A geometry-optimized LaNdAs2 structure. Source: Alexandria, functional PBE.

Unit cell a=7.773 b=7.773 c=7.773 alpha=31.91 beta=31.91 gamma=31.91
Fractional coordinates of all 4 atoms:
La1 0.000 0.000 0.000
Nd1 0.829 0.829 0.829
As1 0.414 0.414 0.414
As2 0.580 0.580 0.580

Computed properties:
DOS at the Fermi energy = 0.0612 states/eV per atom
distance to the lowest polymorph of the same formula = 0.154 eV/atom
DFT total energy = -6.138 eV/atom
crystal system = trigonal
space-group type = R3m

***

| no. | formation energy from the elements (eV per atom) |
| --- | --- |
| 1 | -0.630 |
| 2 | -1.390 |